! Sr2NiP2O8, relaxed, DFT PBE+U; values from VASP
! Total energy   -6.890 eV per atom
! Space group   P2_1/c
! V   1079.5 Å³/cell
&SYSTEM
  ibrav = 0, nat = 78, ntyp = 4
/
ATOMIC_SPECIES
Sr 87.62 Sr.upf
Ni 58.69 Ni.upf
P 30.97 P.upf
O 16.00 O.upf
ATOMIC_POSITIONS crystal
Sr 0.164 0.852 0.153
Sr 0.336 0.352 0.847
Sr 0.836 0.148 0.847
Sr 0.664 0.648 0.153
Sr 0.695 0.115 0.497
Sr 0.805 0.615 0.503
Sr 0.305 0.885 0.503
Sr 0.195 0.385 0.497
Sr 0.167 0.726 0.811
Sr 0.333 0.226 0.189
Sr 0.833 0.274 0.189
Sr 0.667 0.774 0.811
Ni 0.872 0.890 0.325
Ni 0.628 0.390 0.675
Ni 0.128 0.110 0.675
Ni 0.372 0.610 0.325
Ni 0.000 0.500 0.000
Ni 0.500 0.000 0.000
P 0.712 0.433 0.956
P 0.788 0.933 0.044
P 0.288 0.567 0.044
P 0.212 0.067 0.956
P 0.508 0.075 0.713
P 0.992 0.575 0.287
P 0.492 0.925 0.287
P 0.008 0.425 0.713
P 0.559 0.398 0.374
P 0.941 0.898 0.626
P 0.441 0.602 0.626
P 0.059 0.102 0.374
O 0.773 0.577 0.944
O 0.727 0.077 0.056
O 0.227 0.423 0.056
O 0.273 0.923 0.944
O 0.613 0.385 0.848
O 0.887 0.885 0.152
O 0.387 0.615 0.152
O 0.113 0.115 0.848
O 0.633 0.419 0.062
O 0.867 0.919 0.938
O 0.367 0.581 0.938
O 0.133 0.081 0.062
O 0.858 0.344 0.978
O 0.642 0.844 0.022
O 0.142 0.656 0.022
O 0.358 0.156 0.978
O 0.617 0.188 0.687
O 0.883 0.688 0.313
O 0.383 0.812 0.313
O 0.117 0.312 0.687
O 0.526 0.964 0.625
O 0.974 0.464 0.375
O 0.474 0.036 0.375
O 0.026 0.536 0.625
O 0.352 0.134 0.705
O 0.148 0.634 0.295
O 0.648 0.866 0.295
O 0.852 0.366 0.705
O 0.565 0.019 0.834
O 0.935 0.519 0.166
O 0.132 0.135 0.497
O 0.368 0.635 0.503
O 0.868 0.865 0.503
O 0.632 0.365 0.497
O 0.100 0.955 0.346
O 0.400 0.455 0.654
O 0.900 0.045 0.654
O 0.600 0.545 0.346
O 0.885 0.102 0.359
O 0.615 0.602 0.641
O 0.115 0.898 0.641
O 0.385 0.398 0.359
O 0.110 0.205 0.292
O 0.390 0.705 0.708
O 0.890 0.795 0.708
O 0.610 0.295 0.292
O 0.065 0.481 0.834
O 0.435 0.981 0.166
CELL_PARAMETERS angstrom
-3.417 -4.104 7.408
7.546 -6.702 -0.232
7.035 7.730 5.523